DFT (PBE with a Hubbard U) results for an optimized crystal structure of MgNi2O4.

abc: 2.924 9.523 9.320
angles: 90.00 90.00 90.00
Space group Pbcm (No. 57)
Unique sites:
Mg: 0.221 0.146 0.250 (multiplicity 4)
Ni: 0.268 0.614 0.570 (multiplicity 8)
O: 0.167 0.250 0.000 (multiplicity 4)
O: 0.277 0.527 0.114 (multiplicity 8)
O: 0.280 0.706 0.750 (multiplicity 4)

Summary:
final energy	-5.054	eV per atom
total magnetic moment	2.0	μB per formula unit
relative energy among the computed polymorphs	0.055	eV/atom